No. 1
Entry from Alexandria via LeMat-Bulk: a relaxed structure of TaNOF2 (PBE).

Cell: 3.5687 3.5687 4.0120 Å, 90.00 90.00 90.00°
Fractional coordinates of all 5 atoms:
Ta 0.0000 0.0000 0.0000
N 0.5000 0.5000 0.0000
O 0.5000 0.5000 0.5000
F 0.0000 0.5000 0.5000
F 0.5000 0.0000 0.5000

For the electronic total energy, the calculation gives -5.05 eV/atom. As for the density of states at the Fermi level: 2.68 states/eV/f.u.



No. 2
Entry from Alexandria via LeMat-Bulk: a relaxed structure of MgCr (PBE).

Cell: 7.8758 7.8758 2.9979 Å, 90.00 90.00 158.25°
Fractional coordinates of all 4 atoms:
Mg 0.0919 0.9081 0.7500
Mg 0.9081 0.0919 0.2500
Cr 0.2809 0.7191 0.7500
Cr 0.7191 0.2809 0.2500

For the electronic total energy, the calculation gives -5.29 eV/atom. As for the density of states at the Fermi level: 1.91 states/eV/f.u. The calculation puts the formation energy at 0.628 eV per formula unit.



No. 3
Entry from Alexandria via LeMat-Bulk: a relaxed structure of Ba2MnRh (PBE).

Cell: 9.2392 9.2392 9.2392 Å, 26.98 26.98 26.98°
Fractional coordinates of all 4 atoms:
Ba 0.2339 0.2339 0.2339
Ba 0.7661 0.7661 0.7661
Mn 0.0000 0.0000 0.0000
Rh 0.5000 0.5000 0.5000

For the electronic total energy, the calculation gives -4.60 eV/atom. As for the density of states at the Fermi level: 3.66 states/eV/f.u. The calculation puts the formation energy at 1.971 eV per formula unit.



No. 4
Entry from Alexandria via LeMat-Bulk: a relaxed structure of Tl2ReTc (PBE).

Cell: 10.2191 10.2191 10.2191 Å, 16.90 16.90 16.90°
Fractional coordinates of all 4 atoms:
Tl 0.0000 0.0000 0.0000
Tl 0.2344 0.2344 0.2344
Re 0.7523 0.7523 0.7523
Tc 0.4839 0.4839 0.4839

For the electronic total energy, the calculation gives -6.31 eV/atom. As for the density of states at the Fermi level: 1.51 states/eV/f.u. The calculation puts the formation energy at 2.307 eV per formula unit.



No. 5
Entry from Alexandria via LeMat-Bulk: a relaxed structure of ScMnI2N (PBE).

Cell: 5.5082 5.5082 3.5672 Å, 90.00 90.00 90.00°
Fractional coordinates of all 5 atoms:
Sc 0.0000 0.0000 0.0000
Mn 0.5000 0.5000 0.5000
I 0.0000 0.5000 0.5000
I 0.5000 0.0000 0.5000
N 0.5000 0.5000 0.0000

For the electronic total energy, the calculation gives -5.30 eV/atom. As for the density of states at the Fermi level: 5.52 states/eV/f.u.



No. 6
Entry from Alexandria via LeMat-Bulk: a relaxed structure of KSe3 (PBE).

Cell: 6.4992 6.4992 6.4992 Å, 90.00 90.00 90.00°
Fractional coordinates of all 4 atoms:
K 0.0000 0.0000 0.0000
Se 0.0000 0.0000 0.5000
Se 0.0000 0.5000 0.0000
Se 0.5000 0.0000 0.0000

For the electronic total energy, the calculation gives -1.94 eV/atom. As for the density of states at the Fermi level: 7.68 states/eV/f.u.



No. 7
Entry from Alexandria via LeMat-Bulk: a relaxed structure of Nd8Ho2Th (PBE).

Cell: 8.5945 8.5945 5.4604 Å, 90.00 90.00 105.22°
Fractional coordinates of all 11 atoms:
Nd 0.1682 0.1682 0.0000
Nd 0.2029 0.4655 0.5000
Nd 0.2484 0.7516 0.0000
Nd 0.4655 0.2029 0.5000
Nd 0.5345 0.7971 0.5000
Nd 0.7516 0.2484 0.0000
Nd 0.7971 0.5345 0.5000
Nd 0.8318 0.8318 0.0000
Ho 0.1195 0.8805 0.5000
Ho 0.8805 0.1195 0.5000
Th 0.5000 0.5000 0.0000

For the electronic total energy, the calculation gives -4.81 eV/atom. As for the density of states at the Fermi level: 18.10 states/eV/f.u. The calculation puts the formation energy at 1.788 eV per formula unit.



No. 8
Entry from Alexandria via LeMat-Bulk: a relaxed structure of AlSi2O6 (PBE).

Cell: 5.2505 5.2505 5.8670 Å, 90.00 90.00 121.80°
Fractional coordinates of all 9 atoms:
Al 0.0000 0.0000 0.0000
Si 0.0000 0.5000 0.6629
Si 0.5000 0.0000 0.3371
O 0.0786 0.2996 0.8222
O 0.2870 0.7130 0.5000
O 0.2996 0.0786 0.1778
O 0.7004 0.9214 0.1778
O 0.7130 0.2870 0.5000
O 0.9214 0.7004 0.8222

For the electronic total energy, the calculation gives -7.48 eV/atom. As for the density of states at the Fermi level: 4.37 states/eV/f.u.



No. 9
Entry from Alexandria via LeMat-Bulk: a relaxed structure of LaZr2ScF (PBE).

Cell: 4.9444 4.9444 4.4941 Å, 90.00 90.00 90.00°
Fractional coordinates of all 5 atoms:
La 0.0000 0.0000 0.0000
Zr 0.0000 0.5000 0.5000
Zr 0.5000 0.0000 0.5000
Sc 0.5000 0.5000 0.0000
F 0.5000 0.5000 0.5000

For the electronic total energy, the calculation gives -6.65 eV/atom. As for the density of states at the Fermi level: 6.50 states/eV/f.u.



No. 10
Entry from Alexandria via LeMat-Bulk: a relaxed structure of Pu2Zn2Cu15 (PBE).

Cell: 6.5174 6.5174 6.5174 Å, 82.92 82.92 82.92°
Fractional coordinates of all 19 atoms:
Pu 0.1478 0.1478 0.1478
Pu 0.8522 0.8522 0.8522
Zn 0.3981 0.3981 0.3981
Zn 0.6019 0.6019 0.6019
Cu 0.0000 0.5000 0.5000
Cu 0.1553 0.1553 0.6521
Cu 0.1553 0.6521 0.1553
Cu 0.2013 0.5000 0.7987
Cu 0.2013 0.7987 0.5000
Cu 0.3479 0.8447 0.8447
Cu 0.5000 0.0000 0.5000
Cu 0.5000 0.2013 0.7987
Cu 0.5000 0.5000 0.0000
Cu 0.5000 0.7987 0.2013
Cu 0.6521 0.1553 0.1553
Cu 0.7987 0.2013 0.5000
Cu 0.7987 0.5000 0.2013
Cu 0.8447 0.3479 0.8447
Cu 0.8447 0.8447 0.3479

For the electronic total energy, the calculation gives -4.91 eV/atom. As for the density of states at the Fermi level: 34.68 states/eV/f.u. The calculation puts the formation energy at -0.547 eV per formula unit.



No. 11
Entry from Alexandria via LeMat-Bulk: a relaxed structure of CrSeIN2 (PBE).

Cell: 3.8064 3.8064 5.9225 Å, 90.00 90.00 90.00°
Fractional coordinates of all 5 atoms:
Cr 0.0000 0.0000 0.0000
Se 0.5000 0.5000 0.5000
I 0.0000 0.0000 0.5000
N 0.0000 0.5000 0.0000
N 0.5000 0.0000 0.0000

For the electronic total energy, the calculation gives -5.35 eV/atom. As for the density of states at the Fermi level: 3.27 states/eV/f.u.



No. 12
Entry from Alexandria via LeMat-Bulk: a relaxed structure of Er2ZnB2Ir5 (PBE).

Cell: 9.6002 9.6002 3.1236 Å, 90.00 90.00 90.00°
Fractional coordinates of all 20 atoms:
Er 0.1773 0.3227 0.0000
Er 0.3227 0.8227 0.0000
Er 0.6773 0.1773 0.0000
Er 0.8227 0.6773 0.0000
Zn 0.0000 0.0000 0.0000
Zn 0.5000 0.5000 0.0000
B 0.1231 0.6231 0.0000
B 0.3769 0.1231 0.0000
B 0.6231 0.8769 0.0000
B 0.8769 0.3769 0.0000
Ir 0.0000 0.5000 0.5000
Ir 0.0679 0.7805 0.5000
Ir 0.2195 0.0679 0.5000
Ir 0.2805 0.5679 0.5000
Ir 0.4321 0.2805 0.5000
Ir 0.5000 0.0000 0.5000
Ir 0.5679 0.7195 0.5000
Ir 0.7195 0.4321 0.5000
Ir 0.7805 0.9321 0.5000
Ir 0.9321 0.2195 0.5000

For the electronic total energy, the calculation gives -7.51 eV/atom. As for the density of states at the Fermi level: 3.95 states/eV/f.u. The calculation puts the formation energy at -7.074 eV per formula unit.



No. 13
Entry from Alexandria via LeMat-Bulk: a relaxed structure of RbLiMgS2 (PBE).

Cell: 7.0035 7.0035 10.2539 Å, 119.80 119.80 34.17°
Fractional coordinates of all 10 atoms:
Rb 0.1666 0.1666 0.1321
Rb 0.8334 0.8334 0.8679
Li 0.3446 0.3446 0.5640
Li 0.6554 0.6554 0.4360
Mg 0.0339 0.0339 0.6743
Mg 0.9661 0.9661 0.3257
S 0.1624 0.1624 0.5686
S 0.4608 0.4608 0.1886
S 0.5392 0.5392 0.8114
S 0.8376 0.8376 0.4314

For the electronic total energy, the calculation gives -3.90 eV/atom. As for the density of states at the Fermi level: 0.00 states/eV/f.u.



No. 14
Entry from Alexandria via LeMat-Bulk: a relaxed structure of ZrP2Br (PBE).

Cell: 8.0152 8.0152 8.0152 Å, 26.04 26.04 26.04°
Fractional coordinates of all 4 atoms:
Zr 0.0000 0.0000 0.0000
P 0.2648 0.2648 0.2648
P 0.7352 0.7352 0.7352
Br 0.5000 0.5000 0.5000

For the electronic total energy, the calculation gives -5.32 eV/atom. As for the density of states at the Fermi level: 2.92 states/eV/f.u.



No. 15
Entry from Alexandria via LeMat-Bulk: a relaxed structure of Tb2TmIn2 (PBE).

Cell: 13.9995 13.9995 5.3237 Å, 90.00 90.00 164.68°
Fractional coordinates of all 10 atoms:
Tb 0.0472 0.9528 0.7500
Tb 0.2372 0.7628 0.7500
Tb 0.7628 0.2372 0.2500
Tb 0.9528 0.0472 0.2500
Tm 0.1500 0.8500 0.2500
Tm 0.8500 0.1500 0.7500
In 0.3569 0.6431 0.2500
In 0.4482 0.5518 0.7500
In 0.5518 0.4482 0.2500
In 0.6431 0.3569 0.7500

For the electronic total energy, the calculation gives -4.22 eV/atom. As for the density of states at the Fermi level: 3.83 states/eV/f.u. The calculation puts the formation energy at -1.868 eV per formula unit.



No. 16
Entry from Alexandria via LeMat-Bulk: a relaxed structure of BaBi3Sb (PBE).

Cell: 6.5380 6.7770 8.8536 Å, 74.85 76.45 78.04°
Fractional coordinates of all 10 atoms:
Ba 0.2470 0.2364 0.1600
Ba 0.7530 0.7636 0.8400
Bi 0.0552 0.3176 0.6548
Bi 0.3068 0.8694 0.5501
Bi 0.4933 0.3994 0.7194
Bi 0.5067 0.6006 0.2806
Bi 0.6932 0.1306 0.4499
Bi 0.9448 0.6824 0.3452
Sb 0.1847 0.8242 0.0018
Sb 0.8153 0.1758 0.9982

For the electronic total energy, the calculation gives -3.88 eV/atom. As for the density of states at the Fermi level: 2.08 states/eV/f.u.



No. 17
Entry from Alexandria via LeMat-Bulk: a relaxed structure of Hf2ScNbN (PBE).

Cell: 4.4882 4.4882 4.4106 Å, 90.00 90.00 90.00°
Fractional coordinates of all 5 atoms:
Hf 0.0000 0.5000 0.0000
Hf 0.5000 0.0000 0.0000
Sc 0.0000 0.0000 0.5000
Nb 0.5000 0.5000 0.5000
N 0.5000 0.5000 0.0000

For the electronic total energy, the calculation gives -9.53 eV/atom. As for the density of states at the Fermi level: 4.71 states/eV/f.u.



No. 18
Entry from Alexandria via LeMat-Bulk: a relaxed structure of Ce2ZnIrPb (PBE).

Cell: 7.5807 4.3506 7.9019 Å, 90.00 107.79 90.00°
Fractional coordinates of all 10 atoms:
Ce 0.1194 0.2500 0.3293
Ce 0.2934 0.2500 0.9712
Ce 0.7066 0.7500 0.0288
Ce 0.8806 0.7500 0.6707
Zn 0.4414 0.7500 0.3255
Zn 0.5586 0.2500 0.6745
Ir 0.1204 0.7500 0.0916
Ir 0.8796 0.2500 0.9084
Pb 0.3165 0.7500 0.6553
Pb 0.6835 0.2500 0.3447

For the electronic total energy, the calculation gives -5.65 eV/atom. As for the density of states at the Fermi level: 10.37 states/eV/f.u. The calculation puts the formation energy at -2.532 eV per formula unit.



No. 19
Entry from Alexandria via LeMat-Bulk: a relaxed structure of Hg2SbAs (PBE).

Cell: 3.0049 3.0049 11.2709 Å, 90.00 90.00 90.00°
Fractional coordinates of all 4 atoms:
Hg 0.0000 0.0000 0.2341
Hg 0.0000 0.0000 0.7659
Sb 0.5000 0.5000 0.5000
As 0.5000 0.5000 0.0000

For the electronic total energy, the calculation gives -2.02 eV/atom. As for the density of states at the Fermi level: 2.06 states/eV/f.u.



No. 20
Entry from Alexandria via LeMat-Bulk: a relaxed structure of NaLaHg (PBE).

Cell: 7.2607 7.2607 7.2607 Å, 149.84 149.84 43.17°
Fractional coordinates of all 3 atoms:
Na 0.0000 0.0000 0.0000
La 0.2792 0.2792 0.0000
Hg 0.6419 0.6419 0.0000

For the electronic total energy, the calculation gives -2.34 eV/atom. As for the density of states at the Fermi level: 2.07 states/eV/f.u. The calculation puts the formation energy at -0.481 eV per formula unit.